## CoSnPO (PBE+U)

Data for a geometry-optimized CoSnPO structure.

Values from the calculation:
symmetry = P4/nmm (129)
uncorrected energy = -5.380 eV/atom
total magnetization = 0.0 μB per cell

a = 3.6654 Å, b = 3.6654 Å, c = 9.9046 Å
α = 90.00°, β = 90.00°, γ = 90.00°
Last column: nearest neighbours and their distance in Å.
Positions (direct):
Co 0.0000 0.0000 0.5000  4 P 2.17
Co 0.5000 0.5000 0.5000  4 P 2.17
O 0.0000 0.0000 0.0000  4 Sn 2.21
O 0.5000 0.5000 0.0000  4 Sn 2.21
P 0.5000 0.0000 0.3825  4 Co 2.17
P 0.0000 0.5000 0.6175  4 Co 2.17
Sn 0.0000 0.5000 0.1242  4 O 2.21
Sn 0.5000 0.0000 0.8758  4 O 2.21